Mn3PF: relaxed, GGA+U.

Computed properties:
As for the excess energy over the best structure of this formula in the dataset: 0 meV/atom. As for the size of the total moment: 14.3 μB/f.u. The calculation puts the density of states at the Fermi level at 5.43 states/eV/f.u.

The structure in CIF format:
```
data_Mn3PF
_cell_length_a 4.447
_cell_length_b 4.447
_cell_length_c 4.447
_cell_angle_alpha 90.00
_cell_angle_beta 90.00
_cell_angle_gamma 90.00
_symmetry_space_group_name_H-M 'P m -3 m'
_symmetry_Int_Tables_number 221
_symmetry_space_group_name_Hall '-P 4 2 3'
loop_
_atom_site_label
_atom_site_fract_x
_atom_site_fract_y
_atom_site_fract_z
_atom_site_occupancy
Mn1 0.000 0.000 0.500 1
P1 0.500 0.500 0.500 1
F1 0.000 0.000 0.000 1
```